Entry 1:
! LiSbOs3 | the Alexandria database | GGA-PBEsol | optimized geometry; values from VASP
&SYSTEM
  ibrav = 0, nat = 5, ntyp = 3
/
ATOMIC_SPECIES
Li 6.94 Li.upf
Sb 121.76 Sb.upf
Os 190.23 Os.upf
CELL_PARAMETERS angstrom
4.158 0.000 0.000
0.000 4.158 0.000
0.000 0.000 4.158
ATOMIC_POSITIONS crystal
Li 0.000 0.000 0.000
Sb 0.500 0.500 0.500
Os 0.000 0.000 0.500
Os 0.000 0.500 0.000
Os 0.500 0.000 0.000
! Symmetry ... Pm-3m
! Raw formation energy ... 1.385 eV/atom

Entry 2:
! RhI2BrO | the Alexandria database | GGA-PBEsol | optimized geometry; values from VASP
&SYSTEM
  ibrav = 0, nat = 5, ntyp = 4
/
ATOMIC_SPECIES
Rh 102.91 Rh.upf
I 126.90 I.upf
Br 79.90 Br.upf
O 16.00 O.upf
CELL_PARAMETERS angstrom
5.672 0.000 0.000
0.000 5.672 0.000
0.000 0.000 3.726
ATOMIC_POSITIONS crystal
Rh 0.000 0.000 0.000
I 0.000 0.500 0.500
I 0.500 0.000 0.500
Br 0.500 0.500 0.500
O 0.500 0.500 0.000
! Symmetry ... P4/mmm
! Raw formation energy ... 1.011 eV/atom

Entry 3:
! ZrAlCr2 | the Alexandria database | GGA-PBEsol | optimized geometry; values from VASP
&SYSTEM
  ibrav = 0, nat = 4, ntyp = 3
/
ATOMIC_SPECIES
Zr 91.22 Zr.upf
Al 26.98 Al.upf
Cr 52.00 Cr.upf
CELL_PARAMETERS angstrom
3.243 0.000 0.000
0.000 3.243 0.000
0.000 0.000 5.688
ATOMIC_POSITIONS crystal
Zr 0.000 0.000 0.000
Al 0.000 0.000 0.500
Cr 0.500 0.500 0.311
Cr 0.500 0.500 0.689
! Symmetry ... P4/mmm
! E_form ... 0.071 eV per atom

Entry 4:
! ErSbRh2 | the Alexandria database | GGA-PBEsol | optimized geometry; values from VASP
&SYSTEM
  ibrav = 0, nat = 4, ntyp = 3
/
ATOMIC_SPECIES
Er 167.26 Er.upf
Sb 121.76 Sb.upf
Rh 102.91 Rh.upf
CELL_PARAMETERS angstrom
0.000 3.262 3.262
3.262 0.000 3.262
3.262 3.262 0.000
ATOMIC_POSITIONS crystal
Er 0.000 0.000 0.000
Sb 0.500 0.500 0.500
Rh 0.250 0.250 0.250
Rh 0.750 0.750 0.750
! Symmetry ... Fm-3m
! Raw formation energy ... -0.750 eV/atom

Entry 5:
! Zn2Ir | the Alexandria database | GGA-PBEsol | optimized geometry; values from VASP
&SYSTEM
  ibrav = 0, nat = 3, ntyp = 2
/
ATOMIC_SPECIES
Zn 65.41 Zn.upf
Ir 192.22 Ir.upf
CELL_PARAMETERS angstrom
4.222 0.000 0.000
0.000 4.222 0.000
0.000 0.000 2.793
ATOMIC_POSITIONS crystal
Zn 0.000 0.500 0.000
Zn 0.500 0.000 0.000
Ir 0.000 0.000 0.500
! Symmetry ... P4/mmm
! E_form ... -0.167 eV per atom

Entry 6:
! MgFeHg | the Alexandria database | GGA-PBEsol | optimized geometry; values from VASP
&SYSTEM
  ibrav = 0, nat = 3, ntyp = 3
/
ATOMIC_SPECIES
Mg 24.30 Mg.upf
Fe 55.84 Fe.upf
Hg 200.59 Hg.upf
CELL_PARAMETERS angstrom
4.527 0.000 0.000
-2.263 3.920 0.000
0.000 0.000 2.934
ATOMIC_POSITIONS crystal
Mg 0.000 0.000 0.000
Fe 0.333 0.667 0.499
Hg 0.667 0.333 0.503
! Symmetry ... P3m1
! E_form ... 0.275 eV per atom

Entry 7:
! RbCaO2 | the Alexandria database | GGA-PBEsol | optimized geometry; values from VASP
&SYSTEM
  ibrav = 0, nat = 4, ntyp = 3
/
ATOMIC_SPECIES
Rb 85.47 Rb.upf
Ca 40.08 Ca.upf
O 16.00 O.upf
CELL_PARAMETERS angstrom
0.000 3.117 3.117
3.117 0.000 3.117
3.117 3.117 0.000
ATOMIC_POSITIONS crystal
Rb 0.000 0.000 0.000
Ca 0.500 0.500 0.500
O 0.250 0.250 0.250
O 0.750 0.750 0.750
! Symmetry ... Fm-3m
! Raw formation energy ... -1.344 eV/atom

Entry 8:
! LiGd2In | the Alexandria database | GGA-PBEsol | optimized geometry; values from VASP
&SYSTEM
  ibrav = 0, nat = 4, ntyp = 3
/
ATOMIC_SPECIES
Li 6.94 Li.upf
Gd 157.25 Gd.upf
In 114.82 In.upf
CELL_PARAMETERS angstrom
0.000 3.712 3.712
3.712 0.000 3.712
3.712 3.712 0.000
ATOMIC_POSITIONS crystal
Li 0.000 0.000 0.000
Gd 0.250 0.250 0.250
Gd 0.750 0.750 0.750
In 0.500 0.500 0.500
! Symmetry ... Fm-3m
! E_form ... -0.294 eV per atom

Entry 9:
! CaLaY2 | the Alexandria database | GGA-PBEsol | optimized geometry; values from VASP
&SYSTEM
  ibrav = 0, nat = 4, ntyp = 3
/
ATOMIC_SPECIES
Ca 40.08 Ca.upf
La 138.91 La.upf
Y 88.91 Y.upf
CELL_PARAMETERS angstrom
1.806 1.042 11.896
-1.806 1.042 11.896
0.000 -2.085 11.896
ATOMIC_POSITIONS crystal
Ca 0.000 0.000 0.000
La 0.500 0.500 0.500
Y 0.247 0.247 0.247
Y 0.753 0.753 0.753
! Symmetry ... R-3m
! E_form ... 0.064 eV per atom

Entry 10:
! K2BaY | the Alexandria database | GGA-PBEsol | optimized geometry; values from VASP
&SYSTEM
  ibrav = 0, nat = 4, ntyp = 3
/
ATOMIC_SPECIES
K 39.10 K.upf
Ba 137.33 Ba.upf
Y 88.91 Y.upf
CELL_PARAMETERS angstrom
3.799 -7.018 0.000
3.799 7.018 0.000
0.000 0.000 3.731
ATOMIC_POSITIONS crystal
K 0.000 0.500 0.000
K 0.500 0.000 0.000
Ba 0.000 0.000 0.500
Y 0.500 0.500 0.500
! Symmetry ... Cmmm
! E_form ... 0.447 eV per atom

Entry 11:
! BaGa2Sb2 | the Alexandria database | GGA-PBEsol | optimized geometry; values from VASP
&SYSTEM
  ibrav = 0, nat = 40, ntyp = 3
/
ATOMIC_SPECIES
Ba 137.33 Ba.upf
Ga 69.72 Ga.upf
Sb 121.76 Sb.upf
CELL_PARAMETERS angstrom
25.247 0.000 0.000
0.000 4.451 0.000
0.000 0.000 10.164
ATOMIC_POSITIONS crystal
Ba 0.038 0.250 0.224
Ba 0.209 0.750 0.448
Ba 0.291 0.250 0.948
Ba 0.462 0.750 0.724
Ba 0.538 0.250 0.276
Ba 0.709 0.750 0.052
Ba 0.791 0.250 0.552
Ba 0.962 0.750 0.776
Ga 0.034 0.250 0.603
Ga 0.077 0.250 0.825
Ga 0.182 0.750 0.032
Ga 0.215 0.750 0.795
Ga 0.285 0.250 0.295
Ga 0.318 0.250 0.532
Ga 0.423 0.750 0.325
Ga 0.466 0.750 0.103
Ga 0.534 0.250 0.897
Ga 0.577 0.250 0.675
Ga 0.682 0.750 0.468
Ga 0.715 0.750 0.705
Ga 0.785 0.250 0.205
Ga 0.818 0.250 0.968
Ga 0.923 0.750 0.175
Ga 0.966 0.750 0.397
Sb 0.072 0.750 0.485
Sb 0.078 0.750 0.976
Sb 0.170 0.250 0.697
Sb 0.185 0.250 0.186
Sb 0.315 0.750 0.686
Sb 0.330 0.750 0.197
Sb 0.422 0.250 0.476
Sb 0.428 0.250 0.985
Sb 0.572 0.750 0.015
Sb 0.578 0.750 0.524
Sb 0.670 0.250 0.803
Sb 0.685 0.250 0.314
Sb 0.815 0.750 0.814
Sb 0.830 0.750 0.303
Sb 0.922 0.250 0.024
Sb 0.928 0.250 0.515
! Symmetry ... Pnma
! Raw formation energy ... -0.537 eV/atom

Entry 12:
! ScBeTl | the Alexandria database | GGA-PBEsol | optimized geometry; values from VASP
&SYSTEM
  ibrav = 0, nat = 3, ntyp = 3
/
ATOMIC_SPECIES
Sc 44.96 Sc.upf
Be 9.01 Be.upf
Tl 204.38 Tl.upf
CELL_PARAMETERS angstrom
0.000 3.200 3.200
3.200 0.000 3.200
3.200 3.200 0.000
ATOMIC_POSITIONS crystal
Sc 0.000 0.000 0.000
Be 0.750 0.750 0.750
Tl 0.250 0.250 0.250
! Symmetry ... F-43m
! E_form ... 0.545 eV per atom

Entry 13:
! Ba2CaTl | the Alexandria database | GGA-PBEsol | optimized geometry; values from VASP
&SYSTEM
  ibrav = 0, nat = 4, ntyp = 3
/
ATOMIC_SPECIES
Ba 137.33 Ba.upf
Ca 40.08 Ca.upf
Tl 204.38 Tl.upf
CELL_PARAMETERS angstrom
-2.057 3.124 6.554
2.057 -3.124 6.554
2.057 3.124 -6.554
ATOMIC_POSITIONS crystal
Ba 0.000 0.000 0.000
Ba 0.697 0.197 0.500
Ca 0.402 0.402 0.000
Tl 0.217 0.717 0.500
! Symmetry ... Imm2
! E_form ... -0.236 eV per atom

Entry 14:
! Li2TlP | the Alexandria database | GGA-PBEsol | optimized geometry; values from VASP
&SYSTEM
  ibrav = 0, nat = 8, ntyp = 3
/
ATOMIC_SPECIES
Li 6.94 Li.upf
Tl 204.38 Tl.upf
P 30.97 P.upf
CELL_PARAMETERS angstrom
-2.103 2.103 8.628
2.103 -2.103 8.628
2.103 2.103 -8.628
ATOMIC_POSITIONS crystal
Li 0.055 0.625 0.930
Li 0.375 0.305 0.430
Li 0.695 0.125 0.070
Li 0.875 0.945 0.570
Tl 0.250 0.750 0.500
Tl 0.500 0.500 0.000
P 0.000 0.000 0.000
P 0.750 0.250 0.500
! Symmetry ... I-42d
! E_form ... -0.102 eV per atom

Entry 15:
! KSb2Ru | the Alexandria database | GGA-PBEsol | optimized geometry; values from VASP
&SYSTEM
  ibrav = 0, nat = 4, ntyp = 3
/
ATOMIC_SPECIES
K 39.10 K.upf
Sb 121.76 Sb.upf
Ru 101.07 Ru.upf
CELL_PARAMETERS angstrom
3.264 0.000 0.000
0.000 3.264 0.000
0.000 0.000 8.609
ATOMIC_POSITIONS crystal
K 0.000 0.000 0.000
Sb 0.500 0.500 0.315
Sb 0.500 0.500 0.685
Ru 0.000 0.000 0.500
! Symmetry ... P4/mmm
! Raw formation energy ... -0.160 eV/atom

Entry 16:
! CoPtCl2 | the Alexandria database | GGA-PBEsol | optimized geometry; values from VASP
&SYSTEM
  ibrav = 0, nat = 4, ntyp = 3
/
ATOMIC_SPECIES
Co 58.93 Co.upf
Pt 195.08 Pt.upf
Cl 35.45 Cl.upf
CELL_PARAMETERS angstrom
2.916 0.000 0.000
0.000 2.916 0.000
0.000 0.000 7.925
ATOMIC_POSITIONS crystal
Co 0.000 0.000 0.000
Pt 0.500 0.500 0.205
Cl 0.000 0.000 0.431
Cl 0.500 0.500 0.822
! Symmetry ... P4mm
! Raw formation energy ... 0.160 eV/atom

Entry 17:
! TaTl2Cr | the Alexandria database | GGA-PBEsol | optimized geometry; values from VASP
&SYSTEM
  ibrav = 0, nat = 4, ntyp = 3
/
ATOMIC_SPECIES
Ta 180.95 Ta.upf
Tl 204.38 Tl.upf
Cr 52.00 Cr.upf
CELL_PARAMETERS angstrom
3.157 0.000 0.000
0.000 3.157 0.000
0.000 0.000 8.075
ATOMIC_POSITIONS crystal
Ta 0.000 0.000 0.000
Tl 0.000 0.000 0.611
Tl 0.500 0.500 0.278
Cr 0.500 0.500 0.853
! Symmetry ... P4mm
! E_form ... 0.508 eV per atom

Entry 18:
! RbY2ZnIn | the Alexandria database | GGA-PBEsol | optimized geometry; values from VASP
&SYSTEM
  ibrav = 0, nat = 5, ntyp = 4
/
ATOMIC_SPECIES
Rb 85.47 Rb.upf
Y 88.91 Y.upf
Zn 65.41 Zn.upf
In 114.82 In.upf
CELL_PARAMETERS angstrom
5.847 0.000 0.000
0.000 5.847 0.000
0.000 0.000 5.119
ATOMIC_POSITIONS crystal
Rb 0.000 0.000 0.000
Y 0.000 0.500 0.500
Y 0.500 0.000 0.500
Zn 0.500 0.500 0.000
In 0.500 0.500 0.500
! Symmetry ... P4/mmm
! E_form ... 0.490 eV per atom

Entry 19:
! CaZnCl | the Alexandria database | GGA-PBEsol | optimized geometry; values from VASP
&SYSTEM
  ibrav = 0, nat = 3, ntyp = 3
/
ATOMIC_SPECIES
Ca 40.08 Ca.upf
Zn 65.41 Zn.upf
Cl 35.45 Cl.upf
CELL_PARAMETERS angstrom
4.682 0.000 0.000
-2.341 4.055 0.000
0.000 0.000 4.136
ATOMIC_POSITIONS crystal
Ca 0.000 0.000 0.000
Zn 0.667 0.333 0.500
Cl 0.333 0.667 0.000
! Symmetry ... P-6m2
! Raw formation energy ... -0.742 eV/atom

Entry 20:
! HgI2NF | the Alexandria database | GGA-PBEsol | optimized geometry; values from VASP
&SYSTEM
  ibrav = 0, nat = 5, ntyp = 4
/
ATOMIC_SPECIES
Hg 200.59 Hg.upf
I 126.90 I.upf
N 14.01 N.upf
F 19.00 F.upf
CELL_PARAMETERS angstrom
5.868 0.000 0.000
0.000 5.868 0.000
0.000 0.000 4.065
ATOMIC_POSITIONS crystal
Hg 0.000 0.000 0.000
I 0.000 0.500 0.000
I 0.500 0.000 0.000
N 0.000 0.000 0.500
F 0.500 0.500 0.500
! Symmetry ... P4/mmm
! Raw formation energy ... 0.921 eV/atom

Entry 21:
! Ta2TiTlB | the Alexandria database | GGA-PBEsol | optimized geometry; values from VASP
&SYSTEM
  ibrav = 0, nat = 5, ntyp = 4
/
ATOMIC_SPECIES
Ta 180.95 Ta.upf
Ti 47.87 Ti.upf
Tl 204.38 Tl.upf
B 10.81 B.upf
CELL_PARAMETERS angstrom
4.625 0.000 0.000
0.000 4.625 0.000
0.000 0.000 5.131
ATOMIC_POSITIONS crystal
Ta 0.000 0.500 0.000
Ta 0.500 0.000 0.000
Ti 0.000 0.000 0.000
Tl 0.000 0.000 0.500
B 0.500 0.500 0.500
! Symmetry ... P4/mmm
! E_form ... 2.203 eV per atom

Entry 22:
! LiTa3I | the Alexandria database | GGA-PBEsol | optimized geometry; values from VASP
&SYSTEM
  ibrav = 0, nat = 5, ntyp = 3
/
ATOMIC_SPECIES
Li 6.94 Li.upf
Ta 180.95 Ta.upf
I 126.90 I.upf
CELL_PARAMETERS angstrom
4.987 0.000 0.000
0.000 4.987 0.000
0.000 0.000 4.987
ATOMIC_POSITIONS crystal
Li 0.000 0.000 0.000
Ta 0.000 0.500 0.500
Ta 0.500 0.000 0.500
Ta 0.500 0.500 0.000
I 0.500 0.500 0.500
! Symmetry ... Pm-3m
! Raw formation energy ... 2.122 eV/atom

Entry 23:
! BeFeAg | the Alexandria database | GGA-PBEsol | optimized geometry; values from VASP
&SYSTEM
  ibrav = 0, nat = 3, ntyp = 3
/
ATOMIC_SPECIES
Be 9.01 Be.upf
Fe 55.84 Fe.upf
Ag 107.87 Ag.upf
CELL_PARAMETERS angstrom
4.032 0.000 0.000
-2.016 3.492 0.000
0.000 0.000 2.606
ATOMIC_POSITIONS crystal
Be 0.000 0.000 0.000
Fe 0.667 0.333 0.336
Ag 0.333 0.667 0.776
! Symmetry ... P3m1
! E_form ... 0.366 eV per atom

Entry 24:
! Li2Cr2O7 | the Alexandria database | GGA-PBEsol | optimized geometry; values from VASP
&SYSTEM
  ibrav = 0, nat = 22, ntyp = 3
/
ATOMIC_SPECIES
Li 6.94 Li.upf
Cr 52.00 Cr.upf
O 16.00 O.upf
CELL_PARAMETERS angstrom
6.853 -4.185 0.000
6.853 4.185 0.000
-0.822 0.000 5.159
ATOMIC_POSITIONS crystal
Li 0.135 0.267 0.400
Li 0.267 0.135 0.900
Li 0.733 0.865 0.100
Li 0.865 0.733 0.600
Cr 0.168 0.598 0.128
Cr 0.402 0.832 0.372
Cr 0.598 0.168 0.628
Cr 0.832 0.402 0.872
O 0.014 0.267 0.712
O 0.116 0.639 0.828
O 0.225 0.379 0.157
O 0.267 0.014 0.212
O 0.360 0.640 0.250
O 0.361 0.884 0.672
O 0.379 0.225 0.657
O 0.621 0.775 0.343
O 0.639 0.116 0.328
O 0.640 0.360 0.750
O 0.733 0.986 0.788
O 0.775 0.621 0.843
O 0.884 0.361 0.172
O 0.986 0.733 0.288
! Symmetry ... C2/c
! Raw formation energy ... -1.862 eV/atom

Entry 25:
! Li3Zn | the Alexandria database | GGA-PBEsol | optimized geometry; values from VASP
&SYSTEM
  ibrav = 0, nat = 24, ntyp = 2
/
ATOMIC_SPECIES
Li 6.94 Li.upf
Zn 65.41 Zn.upf
CELL_PARAMETERS angstrom
5.665 0.000 0.000
0.000 13.895 0.000
0.000 0.000 4.847
ATOMIC_POSITIONS crystal
Li 0.000 0.250 0.031
Li 0.000 0.750 0.969
Li 0.001 0.085 0.676
Li 0.001 0.415 0.676
Li 0.250 0.250 0.506
Li 0.250 0.582 0.822
Li 0.250 0.918 0.822
Li 0.499 0.085 0.676
Li 0.499 0.415 0.676
Li 0.500 0.250 0.031
Li 0.500 0.750 0.969
Li 0.501 0.585 0.324
Li 0.501 0.915 0.324
Li 0.750 0.082 0.178
Li 0.750 0.418 0.178
Li 0.750 0.750 0.494
Li 0.999 0.585 0.324
Li 0.999 0.915 0.324
Zn 0.250 0.081 0.177
Zn 0.250 0.419 0.177
Zn 0.250 0.750 0.464
Zn 0.750 0.250 0.536
Zn 0.750 0.581 0.823
Zn 0.750 0.919 0.823
! Symmetry ... Pmmn
! E_form ... -0.079 eV per atom

Entry 26:
! YHf2Al2 | the Alexandria database | GGA-PBEsol | optimized geometry; values from VASP
&SYSTEM
  ibrav = 0, nat = 5, ntyp = 3
/
ATOMIC_SPECIES
Y 88.91 Y.upf
Hf 178.49 Hf.upf
Al 26.98 Al.upf
CELL_PARAMETERS angstrom
-2.118 2.118 6.305
2.118 -2.118 6.305
2.118 2.118 -6.305
ATOMIC_POSITIONS crystal
Y 0.000 0.000 0.000
Hf 0.391 0.391 0.000
Hf 0.609 0.609 0.000
Al 0.250 0.750 0.500
Al 0.750 0.250 0.500
! Symmetry ... I4/mmm
! E_form ... 0.212 eV per atom